# 1
## LiSm2Y (PBE-GGA)

Data for crystalline LiSm2Y at its relaxed geometry.

Crystal system: tetragonal
Total magnetization in μB/f.u.: 0.000
SG: P4/mmm
Formation energy in eV per atom: 0.07

abc: 3.6551 3.6551 9.0223
angles: 90.00 90.00 90.00
Positions (direct):
Li (0.0000, 0.0000, 0.0000)
Sm (0.5000, 0.5000, 0.2244)
Sm (0.5000, 0.5000, 0.7756)
Y (0.0000, 0.0000, 0.5000)

# 2
## LiSmY (PBE-GGA)

Data for crystalline LiSmY at its relaxed geometry.

Crystal system: tetragonal
Total magnetization in μB/f.u.: 0.005
SG: I4mm
Formation energy in eV per atom: 0.08

abc: 6.7621 6.7621 6.7621
angles: 148.19 148.19 45.61
Positions (direct):
Li (0.0000, 0.0000, 0.0000)
Sm (0.6554, 0.6554, 0.0000)
Y (0.3504, 0.3504, 0.0000)

# 3
## LiSm2Y (PBE-GGA)

Data for crystalline LiSm2Y at its relaxed geometry.

Crystal system: cubic
Total magnetization in μB/f.u.: 0.000
SG: Fm-3m
Formation energy in eV per atom: 0.18

abc: 5.5667 5.5667 5.5667
angles: 60.00 60.00 60.00
Positions (direct):
Li (0.0000, 0.0000, 0.0000)
Sm (0.2500, 0.2500, 0.2500)
Sm (0.7500, 0.7500, 0.7500)
Y (0.5000, 0.5000, 0.5000)

# 4
## LiSmY (PBE-GGA)

Data for crystalline LiSmY at its relaxed geometry.

Crystal system: monoclinic
Total magnetization in μB/f.u.: 0.000
SG: C2/m
Formation energy in eV per atom: 0.05

abc: 3.6591 3.6591 12.8647
angles: 90.03 90.03 89.96
Positions (direct):
Li (0.2497, 0.2497, 0.0511)
Li (0.7503, 0.7503, 0.9489)
Sm (0.2497, 0.2497, 0.3994)
Sm (0.7503, 0.7503, 0.6006)
Y (0.2507, 0.2507, 0.7879)
Y (0.7493, 0.7493, 0.2121)

# 5
## LiSm2Y (PBE-GGA)

Data for crystalline LiSm2Y at its relaxed geometry.

Crystal system: trigonal
Total magnetization in μB/f.u.: 0.000
SG: R-3m
Formation energy in eV per atom: 0.07

abc: 11.5527 11.5527 11.5527
angles: 17.67 17.67 17.67
Positions (direct):
Li (0.0000, 0.0000, 0.0000)
Sm (0.2518, 0.2518, 0.2518)
Sm (0.7482, 0.7482, 0.7482)
Y (0.5000, 0.5000, 0.5000)

# 6
## Li2SmY (PBE-GGA)

Data for crystalline Li2SmY at its relaxed geometry.

Crystal system: cubic
Total magnetization in μB/f.u.: 0.002
SG: Fm-3m
Formation energy in eV per atom: 0.14

abc: 5.3101 5.3101 5.3101
angles: 60.00 60.00 60.00
Positions (direct):
Li (0.2500, 0.2500, 0.2500)
Li (0.7500, 0.7500, 0.7500)
Sm (0.0000, 0.0000, 0.0000)
Y (0.5000, 0.5000, 0.5000)

# 7
## Li4SmZn (PBE-GGA)

Data for crystalline Li4SmZn at its relaxed geometry.

Crystal system: cubic
Total magnetization in μB/f.u.: 0.000
SG: F-43m
Formation energy in eV per atom: 0.01

abc: 5.4521 5.4521 5.4521
angles: 60.00 60.00 60.00
Positions (direct):
Li (0.3773, 0.3773, 0.3773)
Li (0.3773, 0.3773, 0.8681)
Li (0.3773, 0.8681, 0.3773)
Li (0.8681, 0.3773, 0.3773)
Sm (0.0000, 0.0000, 0.0000)
Zn (0.7500, 0.7500, 0.7500)

# 8
## LiSm2Zn3 (PBE-GGA)

Data for crystalline LiSm2Zn3 at its relaxed geometry.

Crystal system: orthorhombic
Total magnetization in μB/f.u.: 0.000
SG: Fmmm
Formation energy in eV per atom: -0.24

abc: 9.3813 8.7806 5.7652
angles: 77.26 65.91 36.83
Positions (direct):
Li (0.1669, 0.1669, 0.8331)
Li (0.8331, 0.8331, 0.1669)
Sm (0.2500, 0.2500, 0.2500)
Sm (0.2519, 0.7481, 0.7481)
Sm (0.7481, 0.2519, 0.2519)
Sm (0.7500, 0.7500, 0.7500)
Zn (0.1674, 0.6661, 0.3339)
Zn (0.3339, 0.3339, 0.6661)
Zn (0.3339, 0.8326, 0.1674)
Zn (0.6661, 0.1674, 0.8326)
Zn (0.6661, 0.6661, 0.3339)
Zn (0.8326, 0.3339, 0.6661)

# 9
## LiSm2Zn6 (PBE-GGA)

Data for crystalline LiSm2Zn6 at its relaxed geometry.

Crystal system: hexagonal
Total magnetization in μB/f.u.: 0.000
SG: P6/mmm
Formation energy in eV per atom: -0.25

abc: 7.8872 7.8872 3.3136
angles: 90.00 90.00 120.00
Positions (direct):
Li (0.0000, 0.0000, 0.0000)
Sm (0.3333, 0.6667, 0.0000)
Sm (0.6667, 0.3333, 0.0000)
Zn (0.0000, 0.3212, 0.5000)
Zn (0.0000, 0.6788, 0.5000)
Zn (0.3212, 0.0000, 0.5000)
Zn (0.3212, 0.3212, 0.5000)
Zn (0.6788, 0.0000, 0.5000)
Zn (0.6788, 0.6788, 0.5000)

# 10
## Li2Sm2Zn3 (PBE-GGA)

Data for crystalline Li2Sm2Zn3 at its relaxed geometry.

Crystal system: orthorhombic
Total magnetization in μB/f.u.: 0.000
SG: Cmmm
Formation energy in eV per atom: -0.16

abc: 11.7312 11.7312 3.3531
angles: 90.00 90.00 161.42
Positions (direct):
Li (0.2140, 0.7860, 0.0000)
Li (0.7860, 0.2140, 0.0000)
Sm (0.0796, 0.9204, 0.0000)
Sm (0.9204, 0.0796, 0.0000)
Zn (0.3371, 0.6629, 0.5000)
Zn (0.5000, 0.5000, 0.5000)
Zn (0.6629, 0.3371, 0.5000)

# 11
## Li2SmZn3 (PBE-GGA)

Data for crystalline Li2SmZn3 at its relaxed geometry.

Crystal system: orthorhombic
Total magnetization in μB/f.u.: 0.000
SG: Cmcm
Formation energy in eV per atom: -0.18

abc: 6.7604 6.7604 4.9372
angles: 90.00 90.00 84.31
Positions (direct):
Li (0.2287, 0.2287, 0.0000)
Li (0.2287, 0.2287, 0.5000)
Li (0.7713, 0.7713, 0.0000)
Li (0.7713, 0.7713, 0.5000)
Sm (0.2954, 0.7046, 0.7500)
Sm (0.7046, 0.2954, 0.2500)
Zn (0.0631, 0.9369, 0.2500)
Zn (0.0752, 0.5497, 0.2500)
Zn (0.4503, 0.9248, 0.2500)
Zn (0.5497, 0.0752, 0.7500)
Zn (0.9248, 0.4503, 0.7500)
Zn (0.9369, 0.0631, 0.7500)

# 12
## LiSm2Zn5 (PBE-GGA)

Data for crystalline LiSm2Zn5 at its relaxed geometry.

Crystal system: orthorhombic
Total magnetization in μB/f.u.: 0.000
SG: Cmcm
Formation energy in eV per atom: -0.23

abc: 8.4880 8.4880 8.9564
angles: 90.00 90.00 150.09
Positions (direct):
Li (0.0540, 0.9460, 0.7500)
Li (0.9460, 0.0540, 0.2500)
Sm (0.2983, 0.7017, 0.2500)
Sm (0.5000, 0.5000, 0.0000)
Sm (0.5000, 0.5000, 0.5000)
Sm (0.7017, 0.2983, 0.7500)
Zn (0.0997, 0.9003, 0.2500)
Zn (0.1481, 0.8519, 0.5229)
Zn (0.1481, 0.8519, 0.9771)
Zn (0.3134, 0.6866, 0.6054)
Zn (0.3134, 0.6866, 0.8946)
Zn (0.6866, 0.3134, 0.1054)
Zn (0.6866, 0.3134, 0.3946)
Zn (0.8519, 0.1481, 0.0229)
Zn (0.8519, 0.1481, 0.4771)
Zn (0.9003, 0.0997, 0.7500)

Copy entry 11 word for word.
## Li2SmZn3 (PBE-GGA)

Data for crystalline Li2SmZn3 at its relaxed geometry.

Crystal system: orthorhombic
Total magnetization in μB/f.u.: 0.000
SG: Cmcm
Formation energy in eV per atom: -0.18

abc: 6.7604 6.7604 4.9372
angles: 90.00 90.00 84.31
Positions (direct):
Li (0.2287, 0.2287, 0.0000)
Li (0.2287, 0.2287, 0.5000)
Li (0.7713, 0.7713, 0.0000)
Li (0.7713, 0.7713, 0.5000)
Sm (0.2954, 0.7046, 0.7500)
Sm (0.7046, 0.2954, 0.2500)
Zn (0.0631, 0.9369, 0.2500)
Zn (0.0752, 0.5497, 0.2500)
Zn (0.4503, 0.9248, 0.2500)
Zn (0.5497, 0.0752, 0.7500)
Zn (0.9248, 0.4503, 0.7500)
Zn (0.9369, 0.0631, 0.7500)

Copy entry 1 word for word.
## LiSm2Y (PBE-GGA)

Data for crystalline LiSm2Y at its relaxed geometry.

Crystal system: tetragonal
Total magnetization in μB/f.u.: 0.000
SG: P4/mmm
Formation energy in eV per atom: 0.07

abc: 3.6551 3.6551 9.0223
angles: 90.00 90.00 90.00
Positions (direct):
Li (0.0000, 0.0000, 0.0000)
Sm (0.5000, 0.5000, 0.2244)
Sm (0.5000, 0.5000, 0.7756)
Y (0.0000, 0.0000, 0.5000)

Question: Among the records above, which one has the lowest formation energy?
Answer: LiSm2Zn6

Question: What is the formation energy in the eighth record?
Answer: -0.24 eV per atom